No. 1
The following is a PBE calculation of crystalline Mn2V5Fe at its relaxed geometry, from Alexandria via LeMat-Bulk.

Summary:
For the density of states at the Fermi level, the calculation gives 1.042 states/eV per atom. As for the formation energy: 0.086 eV/atom.

abc: 5.8552 5.8552 11.9092
angles: 90.00 90.00 90.00
Space group I4/mcm (No. 140)
Unique sites:
Mn (0.1386, 0.3614, 0.0000) x8
V (0.0000, 0.0000, 0.0000) x4
V (0.1669, 0.3331, 0.3438) x16
Fe (0.0000, 0.0000, 0.2500) x4


No. 2
The following is a PBE calculation of crystalline MnV5Fe4 at its relaxed geometry, from Alexandria via LeMat-Bulk.

Summary:
For the density of states at the Fermi level, the calculation gives 1.038 states/eV per atom. As for the formation energy: -0.154 eV/atom.

abc: 2.8708 2.8708 14.4224
angles: 90.00 90.00 90.00
Space group P4/mmm (No. 123)
Unique sites:
Mn (0.0000, 0.0000, 0.0000) x1
V (0.5000, 0.5000, 0.0986) x2
V (0.5000, 0.5000, 0.2995) x2
V (0.5000, 0.5000, 0.5000) x1
Fe (0.0000, 0.0000, 0.1987) x2
Fe (0.0000, 0.0000, 0.3995) x2


No. 3
The following is a PBE calculation of crystalline Mn2VFe2 at its relaxed geometry, from Alexandria via LeMat-Bulk.

Summary:
For the density of states at the Fermi level, the calculation gives 1.443 states/eV per atom. As for the formation energy: 0.345 eV/atom. For the energy above the most stable polymorph in this dataset, the calculation gives 241.8 meV per atom.

abc: 3.5095 3.5095 9.8071
angles: 90.00 90.00 90.00
Space group I4/mmm (No. 139)
Unique sites:
Mn (0.0000, 0.5000, 0.2500) x4
V (0.0000, 0.0000, 0.0000) x2
Fe (0.0000, 0.0000, 0.3952) x4


No. 4
The following is a PBE calculation of crystalline MnVFe2 at its relaxed geometry, from Alexandria via LeMat-Bulk.

Summary:
For the density of states at the Fermi level, the calculation gives 1.142 states/eV per atom. As for the formation energy: -0.038 eV/atom.

abc: 4.0091 2.9022 7.9803
angles: 90.00 90.00 90.00
Space group Pmma (No. 51)
Unique sites:
Mn (0.2500, 0.0000, 0.1241) x2
V (0.2500, 0.0000, 0.6326) x2
Fe (0.2500, 0.5000, 0.3805) x2
Fe (0.2500, 0.5000, 0.8736) x2


No. 5
The following is a PBE calculation of crystalline Mn2V4Fe at its relaxed geometry, from Alexandria via LeMat-Bulk.

Summary:
For the density of states at the Fermi level, the calculation gives 1.317 states/eV per atom. As for the formation energy: 0.777 eV/atom. For the energy above the most stable polymorph in this dataset, the calculation gives 731.2 meV per atom.

abc: 4.2465 4.2465 11.8898
angles: 90.00 90.00 90.00
Space group I4/mmm (No. 139)
Unique sites:
Mn (0.0000, 0.0000, 0.1203) x4
V (0.0000, 0.0000, 0.3082) x4
V (0.0000, 0.5000, 0.0000) x4
Fe (0.0000, 0.0000, 0.5000) x2


No. 6
The following is a PBE calculation of crystalline Mn3VFe at its relaxed geometry, from Alexandria via LeMat-Bulk.

Summary:
For the density of states at the Fermi level, the calculation gives 1.734 states/eV per atom. As for the formation energy: 1.007 eV/atom. For the energy above the most stable polymorph in this dataset, the calculation gives 0.0 meV per atom.

abc: 4.2525 4.2525 4.2525
angles: 90.00 90.00 90.00
Space group Pm-3m (No. 221)
Unique sites:
Mn (0.0000, 0.0000, 0.5000) x3
V (0.5000, 0.5000, 0.5000) x1
Fe (0.0000, 0.0000, 0.0000) x1


No. 7
The following is a PBE calculation of crystalline Mn2V8Fe at its relaxed geometry, from Alexandria via LeMat-Bulk.

Summary:
For the density of states at the Fermi level, the calculation gives 0.644 states/eV per atom. As for the formation energy: -0.177 eV/atom.

abc: 12.1002 4.1027 6.3979
angles: 90.00 120.63 90.00
Space group C2/m (No. 12)
Unique sites:
Mn (0.2272, 0.0000, 0.1359) x4
V (0.0481, 0.0000, 0.2262) x4
V (0.0944, 0.5000, 0.9524) x4
V (0.1371, 0.0000, 0.6868) x4
V (0.1800, 0.5000, 0.4152) x4
Fe (0.0000, 0.5000, 0.5000) x2


No. 8
The following is a PBE calculation of crystalline MnV6Fe5 at its relaxed geometry, from Alexandria via LeMat-Bulk.

Summary:
For the density of states at the Fermi level, the calculation gives 1.163 states/eV per atom. As for the formation energy: -0.144 eV/atom.

abc: 4.0704 5.7406 12.2148
angles: 90.00 90.00 90.00
Space group Immm (No. 71)
Unique sites:
Mn (0.0000, 0.0000, 0.0000) x2
V (0.0000, 0.2495, 0.1660) x8
V (0.0000, 0.2510, 0.5000) x4
Fe (0.0000, 0.0000, 0.3326) x4
Fe (0.0000, 0.5000, 0.0000) x2
Fe (0.0000, 0.5000, 0.3330) x4


No. 9
The following is a PBE calculation of crystalline Mn2V8Fe3 at its relaxed geometry, from Alexandria via LeMat-Bulk.

Summary:
For the density of states at the Fermi level, the calculation gives 1.229 states/eV per atom. As for the formation energy: 0.234 eV/atom.

abc: 10.8752 6.4446 4.8330
angles: 90.00 95.22 90.00
Space group C2/m (No. 12)
Unique sites:
Mn (0.2035, 0.0000, 0.2617) x4
V (0.1048, 0.5000, 0.9106) x4
V (0.1161, 0.3063, 0.4228) x8
V (0.1873, 0.0000, 0.7879) x4
Fe (0.0000, 0.0000, 0.5000) x2
Fe (0.0000, 0.1852, 0.0000) x4


No. 10
The following is a PBE calculation of crystalline MnV4Fe2 at its relaxed geometry, from Alexandria via LeMat-Bulk.

Summary:
For the density of states at the Fermi level, the calculation gives 0.850 states/eV per atom. As for the formation energy: 0.048 eV/atom. For the energy above the most stable polymorph in this dataset, the calculation gives 0.0 meV per atom.

abc: 3.9653 3.9653 11.3873
angles: 90.00 90.00 90.00
Space group I4/mmm (No. 139)
Unique sites:
Mn (0.0000, 0.0000, 0.0000) x2
V (0.0000, 0.5000, 0.1185) x8
Fe (0.0000, 0.0000, 0.2532) x4


No. 11
The following is a PBE calculation of crystalline MnV2Fe at its relaxed geometry, from Alexandria via LeMat-Bulk.

Summary:
For the density of states at the Fermi level, the calculation gives 0.832 states/eV per atom. As for the formation energy: -0.194 eV/atom.

abc: 5.7394 5.7394 5.7394
angles: 90.00 90.00 90.00
Space group Fm-3m (No. 225)
Unique sites:
Mn (0.0000, 0.0000, 0.0000) x4
V (0.2500, 0.2500, 0.2500) x8
Fe (0.0000, 0.0000, 0.5000) x4


No. 12
The following is a PBE calculation of crystalline Mn2VFe2 at its relaxed geometry, from Alexandria via LeMat-Bulk.

Summary:
For the density of states at the Fermi level, the calculation gives 0.976 states/eV per atom. As for the formation energy: 0.103 eV/atom. For the energy above the most stable polymorph in this dataset, the calculation gives 0.0 meV per atom.

abc: 6.7535 6.7535 2.4795
angles: 90.00 90.00 90.00
Space group P4/mbm (No. 127)
Unique sites:
Mn (0.1714, 0.3286, 0.0000) x4
V (0.0000, 0.0000, 0.5000) x2
Fe (0.1244, 0.6244, 0.5000) x4


No. 13
The following is a PBE calculation of crystalline Mn4V2Fe at its relaxed geometry, from Alexandria via LeMat-Bulk.

Summary:
For the density of states at the Fermi level, the calculation gives 1.188 states/eV per atom. As for the formation energy: 0.862 eV/atom.

abc: 4.1449 4.1449 12.6411
angles: 90.00 90.00 90.00
Space group I4/mmm (No. 139)
Unique sites:
Mn (0.0000, 0.0000, 0.1914) x4
Mn (0.0000, 0.5000, 0.0000) x4
V (0.0000, 0.0000, 0.3888) x4
Fe (0.0000, 0.0000, 0.0000) x2


No. 14
The following is a PBE calculation of crystalline MnV2Fe2 at its relaxed geometry, from Alexandria via LeMat-Bulk.

Summary:
For the density of states at the Fermi level, the calculation gives 1.167 states/eV per atom. As for the formation energy: 0.073 eV/atom.

abc: 6.6700 6.6700 2.7750
angles: 90.00 90.00 90.00
Space group P4/mbm (No. 127)
Unique sites:
Mn (0.0000, 0.0000, 0.0000) x2
V (0.1629, 0.3371, 0.5000) x4
Fe (0.1378, 0.6378, 0.0000) x4


No. 15
The following is a PBE calculation of crystalline Mn2VFe4 at its relaxed geometry, from Alexandria via LeMat-Bulk.

Summary:
For the density of states at the Fermi level, the calculation gives 1.278 states/eV per atom. As for the formation energy: 0.310 eV/atom.

abc: 3.7634 3.7634 11.4247
angles: 90.00 90.00 90.00
Space group I4/mmm (No. 139)
Unique sites:
Mn (0.0000, 0.0000, 0.2416) x4
V (0.0000, 0.0000, 0.5000) x2
Fe (0.0000, 0.5000, 0.1190) x8


No. 16
The following is a PBE calculation of crystalline MnV3Fe3 at its relaxed geometry, from Alexandria via LeMat-Bulk.

Summary:
For the density of states at the Fermi level, the calculation gives 1.246 states/eV per atom. As for the formation energy: 0.079 eV/atom.

abc: 7.9206 8.1183 5.2689
angles: 90.00 90.00 90.00
Space group Cmmm (No. 65)
Unique sites:
Mn (0.2493, 0.0000, 0.0000) x4
V (0.0000, 0.2229, 0.5000) x4
V (0.0000, 0.3331, 0.0000) x4
V (0.1837, 0.5000, 0.5000) x4
Fe (0.0000, 0.0000, 0.2347) x4
Fe (0.2500, 0.2500, 0.2468) x8


No. 17
The following is a PBE calculation of crystalline Mn2V2Fe at its relaxed geometry, from Alexandria via LeMat-Bulk.

Summary:
For the density of states at the Fermi level, the calculation gives 0.978 states/eV per atom. As for the formation energy: -0.133 eV/atom. For the energy above the most stable polymorph in this dataset, the calculation gives 0.0 meV per atom.

abc: 2.8848 4.0436 10.1936
angles: 90.00 98.19 90.00
Space group P2_1/m (No. 11)
Unique sites:
Mn (0.0506, 0.2500, 0.1013) x2
Mn (0.2476, 0.2500, 0.4953) x2
V (0.3477, 0.7500, 0.6953) x2
V (0.4502, 0.2500, 0.9002) x2
Fe (0.1493, 0.7500, 0.2991) x2


No. 18
The following is a PBE calculation of crystalline MnVFe at its relaxed geometry, from Alexandria via LeMat-Bulk.

Summary:
For the density of states at the Fermi level, the calculation gives 1.557 states/eV per atom. As for the formation energy: 0.249 eV/atom. For the energy above the most stable polymorph in this dataset, the calculation gives 383.3 meV per atom.

abc: 7.3435 7.3435 2.6542
angles: 90.00 90.00 90.00
Space group P4_2/m (No. 84)
Unique sites:
Mn (0.1284, 0.1504, 0.0000) x4
V (0.2849, 0.4312, 0.5000) x4
Fe (0.0691, 0.6239, 0.0000) x4


No. 19
The following is a PBE calculation of crystalline Mn5V12Fe3 at its relaxed geometry, from Alexandria via LeMat-Bulk.

Summary:
For the density of states at the Fermi level, the calculation gives 1.623 states/eV per atom. As for the formation energy: 0.934 eV/atom.

abc: 13.3487 13.3487 13.3487
angles: 90.00 90.00 90.00
Space group Ia-3d (No. 230)
Unique sites:
Mn (0.0000, 0.0000, 0.0000) x16
Mn (0.0000, 0.2500, 0.3750) x24
V (0.0230, 0.0777, 0.6471) x96
Fe (0.0000, 0.2500, 0.1250) x24


No. 20
The following is a PBE calculation of crystalline MnV2Fe at its relaxed geometry, from Alexandria via LeMat-Bulk.

Summary:
For the density of states at the Fermi level, the calculation gives 0.852 states/eV per atom. As for the formation energy: -0.196 eV/atom.

abc: 4.0485 4.0485 2.8838
angles: 90.00 90.00 90.00
Space group P4/mmm (No. 123)
Unique sites:
Mn (0.0000, 0.0000, 0.0000) x1
V (0.0000, 0.5000, 0.5000) x2
Fe (0.5000, 0.5000, 0.0000) x1